A plane-wave DFT calculation with PBE was carried out for an optimized crystal structure of LaIrBr.

a b c (Å): 7.0766 7.0766 7.0766
angles (deg): 90.00 90.00 90.00
Closest atoms and distances in Å follow each position.
Space group F-43m (No. 216)
Inequivalent atoms, fractional coordinates:
La  0.0000  0.0000  0.0000 [4 per cell]  4 Ir 3.06, 4 Br 3.06
Ir  0.2500  0.2500  0.7500 [4 per cell]  4 La 3.06
Br  0.2500  0.2500  0.2500 [4 per cell]  4 La 3.06

Results
- raw formation energy (eV per formula unit) = -0.74
- ΔE to the lowest computed polymorph (meV/atom) = 1092
- final energy (eV for the cell shown) = -64.790